Material: Hf4TiIn
Method: DFT, PBE
State: relaxed

- magnetic moment (μB per formula unit) = 1.0
- V (Å³ per atom) = 24.7
- E_tot (eV/atom) = -7.866
- E_form (eV per atom) = 0.542
- distance to the lowest polymorph of the same formula (meV/atom) = 563

Lattice parameters (Å, degrees): 4.620 4.620 6.933 89.99 90.00 90.00
Fractional coordinates of all 6 atoms:
Hf  0.501  0.997  0.273
Hf  0.501  0.997  0.723
Hf  0.001  0.497  0.723
Hf  0.001  0.497  0.273
Ti  0.001  0.997  0.498
In  0.501  0.497  0.998